Entry 1:
RbNd2ZnO5 | PBE | optimized geometry

The structure in POSCAR format:
```
RbNd2ZnO5
1.0
-3.432 3.432 5.878
3.432 -3.432 5.878
3.432 3.432 -5.878
Rb Nd Zn O
2 4 2 10
Cartesian
0.000 0.000 2.939 Rb
0.000 0.000 8.817 Rb
4.623 1.191 0.000 Nd
1.191 2.241 0.000 Nd
2.241 1.191 5.878 Nd
-1.191 2.241 5.878 Nd
3.432 0.000 2.939 Zn
0.000 3.432 2.939 Zn
0.000 0.000 0.000 O
2.501 0.931 -1.459 O
2.501 -0.931 4.419 O
2.501 0.931 1.459 O
2.501 -0.931 7.337 O
0.000 0.000 5.878 O
0.931 4.362 -1.459 O
0.931 2.501 4.419 O
0.931 4.362 1.459 O
0.931 2.501 7.337 O
```

Results
Volume in Å³/cell: 276.9
Energy relative to the elements, uncorrected in meV per atom: -2310
Mass density in g/cm³: 6.23
SG: I4/mcm, No. 140

***

Entry 2:
YErFe14B | PBE | optimized geometry

The structure in POSCAR format:
```
YErFe14B
1.0
8.702 0.000 0.000
0.000 8.702 0.000
0.000 0.000 11.874
Y Er Fe B
4 4 56 4
Cartesian
2.031 2.031 0.000 Y
2.320 6.382 5.937 Y
6.382 2.320 5.937 Y
6.671 6.671 0.000 Y
1.252 1.252 5.937 Er
3.099 5.603 0.000 Er
5.603 3.099 0.000 Er
7.450 7.450 5.937 Er
0.000 0.000 1.375 Fe
0.000 0.000 10.500 Fe
0.000 4.351 0.000 Fe
0.000 4.351 5.937 Fe
0.322 5.581 3.865 Fe
0.322 5.581 8.009 Fe
0.581 6.305 1.504 Fe
0.581 6.305 10.370 Fe
0.843 7.859 3.567 Fe
0.843 7.859 8.307 Fe
1.230 4.029 2.072 Fe
1.230 4.029 9.802 Fe
1.589 1.589 2.927 Fe
1.589 1.589 8.947 Fe
1.954 3.770 4.433 Fe
1.954 3.770 7.441 Fe
2.396 8.121 1.504 Fe
2.396 8.121 10.370 Fe
2.762 5.940 3.010 Fe
2.762 5.940 8.864 Fe
3.121 8.380 3.865 Fe
3.121 8.380 8.009 Fe
3.508 3.508 2.370 Fe
3.508 3.508 9.505 Fe
3.770 1.954 4.433 Fe
3.770 1.954 7.441 Fe
4.029 1.230 2.072 Fe
4.029 1.230 9.802 Fe
4.351 0.000 0.000 Fe
4.351 0.000 5.937 Fe
4.351 4.351 4.563 Fe
4.351 4.351 7.312 Fe
4.673 7.472 2.072 Fe
4.673 7.472 9.802 Fe
4.931 6.747 4.433 Fe
4.931 6.747 7.441 Fe
5.194 5.194 2.370 Fe
5.194 5.194 9.505 Fe
5.581 0.322 3.865 Fe
5.581 0.322 8.009 Fe
5.940 2.762 3.010 Fe
5.940 2.762 8.864 Fe
6.305 0.581 1.504 Fe
6.305 0.581 10.370 Fe
6.747 4.931 4.433 Fe
6.747 4.931 7.441 Fe
7.112 7.112 2.927 Fe
7.112 7.112 8.947 Fe
7.472 4.673 2.072 Fe
7.472 4.673 9.802 Fe
7.859 0.843 3.567 Fe
7.859 0.843 8.307 Fe
8.121 2.396 1.504 Fe
8.121 2.396 10.370 Fe
8.380 3.121 3.865 Fe
8.380 3.121 8.009 Fe
1.091 7.611 0.000 B
3.260 3.260 5.937 B
5.442 5.442 5.937 B
7.611 1.091 0.000 B
```

Results
Volume in Å³/cell: 899.1
Mass density in g/cm³: 7.75
Formation energy in eV per formula unit: -1.9
SG: P4_2/mnm, No. 136

***

Entry 3:
NbSbSeI2 | PBE | optimized geometry

The structure in POSCAR format:
```
NbSbSeI2
1.0
5.618 0.000 0.000
0.000 5.618 0.000
0.000 0.000 5.468
Nb Sb Se I
1 1 1 2
Cartesian
0.000 0.000 0.000 Nb
2.809 2.809 0.000 Sb
2.809 2.809 2.734 Se
0.000 2.809 2.734 I
2.809 0.000 2.734 I
```

Results
Volume in Å³/cell: 172.6
Energy relative to the elements, uncorrected in meV per atom: 1128
Mass density in g/cm³: 5.27
SG: P4/mmm, No. 123